No. 1
The following is a DFT calculation (PBE) of a geometry-optimized GaCo3Bi structure.

E (eV per atom): -4.896
Magnetic moment (μB/atom): 0.7335
SG: Pm-3m, No. 221
E_form (meV per atom): 749
Polymorph energy (0 for the lowest one) (kcal/mol of atoms): 0.00
Mass density (g/cm³): 8.7

Cell: 4.4241 4.4241 4.4241 Å, 90.00 90.00 90.00°
Last column: nearest neighbours and their distance in Å.
Atoms (fractional coordinates):
Ga (0.0000, 0.0000, 0.0000)  6 Co 2.21
Co (0.0000, 0.0000, 0.5000)  2 Ga 2.21
Co (0.0000, 0.5000, 0.0000)  2 Ga 2.21
Co (0.5000, 0.0000, 0.0000)  2 Ga 2.21
Bi (0.5000, 0.5000, 0.5000)  12 Co 3.13

---

No. 2
The following is a DFT calculation (PBE) of a geometry-optimized Ga2CoBi structure.

E (eV per atom): -4.057
Magnetic moment (μB/atom): 0.2086
SG: I-42d, No. 122
E_form (meV per atom): 203
Mass density (g/cm³): 8.1

Cell: 4.4903 4.4903 8.8476 Å, 75.30 75.30 90.00°
Last column: nearest neighbours and their distance in Å.
Atoms (fractional coordinates):
Ga (0.3750, 0.4917, 0.7500)  2 Co 2.43, 2 Ga 2.54
Ga (0.5083, 0.1250, 0.2500)  2 Co 2.43, 2 Ga 2.54
Ga (0.2417, 0.6250, 0.2500)  2 Co 2.43, 2 Ga 2.54
Ga (0.8750, 0.7583, 0.7500)  2 Co 2.43, 2 Ga 2.54
Co (0.2500, 0.7500, 0.5000)  4 Ga 2.43
Co (0.5000, 0.5000, 0.0000)  4 Ga 2.43
Bi (0.0000, 0.0000, 0.0000)  4 Ga 2.87, 4 Co 3.18
Bi (0.7500, 0.2500, 0.5000)  4 Ga 2.87, 4 Co 3.18

---

No. 3
The following is a DFT calculation (PBE) of a geometry-optimized Ga2CoBiIr structure.

E (eV per atom): -4.835
Magnetic moment (μB/atom): 0.3144
SG: P4/mmm, No. 123
E_form (meV per atom): 345
Mass density (g/cm³): 10.2

Cell: 4.5156 4.7810 4.5156 Å, 90.00 90.00 90.00°
Last column: nearest neighbours and their distance in Å.
Atoms (fractional coordinates):
Ir (0.0000, 0.5000, 0.0000)  2 Co 2.39
Ga (0.5000, 0.0000, 0.0000)  2 Co 2.26
Ga (0.0000, 0.0000, 0.5000)  2 Co 2.26
Co (0.0000, 0.0000, 0.0000)  4 Ga 2.26, 2 Ir 2.39
Bi (0.5000, 0.5000, 0.5000)  4 Ir 3.19, 8 Ga 3.29

---

No. 4
The following is a DFT calculation (PBE) of a geometry-optimized NaGa2CoBi structure.

E (eV per atom): -2.581
Magnetic moment (μB/atom): 0.4420
SG: P4/mmm, No. 123
E_form (meV per atom): 1090
Polymorph energy (0 for the lowest one) (kcal/mol of atoms): 26.13
Mass density (g/cm³): 3.9

Cell: 5.5873 5.8013 5.5873 Å, 90.00 90.00 90.00°
Last column: nearest neighbours and their distance in Å.
Atoms (fractional coordinates):
Ga (0.0000, 0.0000, 0.5000)  2 Bi 2.79
Ga (0.5000, 0.0000, 0.0000)  2 Bi 2.79
Bi (0.0000, 0.0000, 0.0000)  4 Ga 2.79, 2 Na 2.90
Co (0.5000, 0.5000, 0.5000)  4 Na 3.95, 8 Ga 4.03
Na (0.0000, 0.5000, 0.0000)  2 Bi 2.90

---

No. 5
The following is a DFT calculation (PBE) of a geometry-optimized NaGa2CoBi structure.

E (eV per atom): -3.715
Magnetic moment (μB/atom): 0.0000
SG: P4/mmm, No. 123
E_form (meV per atom): -43
Polymorph energy (0 for the lowest one) (kcal/mol of atoms): 0.00
Mass density (g/cm³): 6.3

Cell: 4.6215 4.6215 5.3147 Å, 90.00 90.00 90.00°
Last column: nearest neighbours and their distance in Å.
Atoms (fractional coordinates):
Ga (0.5000, 0.0000, 0.0000)  2 Co 2.31
Ga (0.0000, 0.5000, 0.0000)  2 Co 2.31
Na (0.5000, 0.5000, 0.5000)  4 Bi 3.27, 8 Ga 3.52
Co (0.0000, 0.0000, 0.0000)  4 Ga 2.31
Bi (0.0000, 0.0000, 0.5000)  2 Co 2.66

---

Q: Among the records above, which one has the lowest magnetic moment?
A: number 5

---

Q: Which value of mass density does entry 3 give?
A: 10.2 g/cm³